Entry 1:
Density functional theory data (PBE) for a relaxed Ce4FeCCl2 crystal.

POSCAR file:
```
Ce4FeCCl2
1.0
-0.272 -3.397 -1.716
-1.161 -2.838 5.803
-6.720 1.864 -2.627
Ce Cl C Fe
4 2 1 1
direct
0.000 0.732 0.188 Ce
0.500 0.743 0.797 Ce
0.000 0.268 0.812 Ce
0.500 0.257 0.203 Ce
0.000 0.500 0.500 Cl
0.500 0.000 0.500 Cl
0.500 0.500 0.000 C
0.000 0.000 0.000 Fe
```

Results
Uncorrected formation energy   -0.811 eV/atom

=====

Entry 2:
Density functional theory data (PBE) for a relaxed Ce8FeC3Cl4 crystal.

POSCAR file:
```
Ce8FeC3Cl4
1.0
7.514 0.000 0.000
0.000 8.262 0.512
-3.757 -3.760 5.329
Ce C Cl Fe
8 3 4 1
direct
0.238 0.695 0.958 Ce
0.239 0.696 0.478 Ce
0.280 0.305 0.042 Ce
0.267 0.301 0.534 Ce
0.720 0.695 0.958 Ce
0.762 0.305 0.042 Ce
0.733 0.699 0.466 Ce
0.761 0.304 0.522 Ce
0.500 0.500 0.000 C
0.500 0.500 0.500 C
0.000 0.500 0.500 C
0.000 0.000 0.500 Cl
0.500 0.000 0.000 Cl
0.500 0.000 0.500 Cl
0.000 0.000 0.000 Cl
0.000 0.500 0.000 Fe
```

Results
Uncorrected formation energy   -0.879 eV/atom

=====

Entry 3:
Density functional theory data (PBE) for a relaxed Ce6HC3Cl2 crystal.

POSCAR file:
```
Ce6HC3Cl2
1.0
3.682 0.000 0.000
0.000 7.976 -0.111
-1.841 -2.710 8.104
Cl Ce C H
2 6 3 1
direct
0.164 0.327 0.328 Cl
0.836 0.673 0.672 Cl
0.342 0.393 0.685 Ce
0.013 0.732 0.025 Ce
0.327 0.949 0.654 Ce
0.987 0.268 0.975 Ce
0.673 0.051 0.346 Ce
0.658 0.607 0.315 Ce
0.500 0.500 0.000 C
0.831 0.168 0.663 C
0.169 0.832 0.337 C
0.500 0.000 0.000 H
```

Results
Final energy   -6.5923 eV per atom

=====

Entry 4:
Density functional theory data (PBE) for a relaxed Ce6H2C3Cl crystal.

POSCAR file:
```
Ce6H2C3Cl
1.0
3.654 0.000 0.000
0.000 7.662 0.053
-1.827 -2.439 7.858
Ce C Cl H
6 3 1 2
direct
0.678 0.077 0.355 Ce
0.322 0.923 0.645 Ce
0.003 0.724 0.005 Ce
0.338 0.399 0.677 Ce
0.997 0.276 0.995 Ce
0.662 0.601 0.323 Ce
0.500 0.500 0.000 C
0.163 0.835 0.327 C
0.837 0.165 0.673 C
0.500 0.000 0.000 Cl
0.168 0.336 0.336 H
0.832 0.664 0.664 H
```

Results
Final energy   -6.5009 eV per atom

=====

Entry 5:
Density functional theory data (PBE) for a relaxed Ce8HC4Cl3 crystal.

POSCAR file:
```
Ce8HC4Cl3
1.0
-0.707 5.751 4.561
-4.831 -4.325 4.705
6.684 -2.756 -1.449
C Ce H Cl
4 8 1 3
direct
0.000 0.000 0.000 C
0.500 0.000 0.000 C
0.000 0.000 0.500 C
0.500 0.000 0.500 C
0.262 0.796 0.033 Ce
0.766 0.797 0.531 Ce
0.262 0.795 0.525 Ce
0.738 0.205 0.475 Ce
0.229 0.204 0.967 Ce
0.771 0.796 0.033 Ce
0.738 0.204 0.967 Ce
0.234 0.203 0.469 Ce
0.000 0.500 0.000 H
0.000 0.500 0.500 Cl
0.500 0.500 0.500 Cl
0.500 0.500 0.000 Cl
```

Results
Final energy   -6.6210 eV per atom

=====

Entry 6:
Density functional theory data (PBE) for a relaxed Ce6HC2Cl3 crystal.

POSCAR file:
```
Ce6HC2Cl3
1.0
6.417 0.001 0.000
-3.206 5.559 0.000
-1.071 -1.854 6.953
C Ce H Cl
2 6 1 3
direct
0.667 0.333 0.000 C
0.333 0.667 0.000 C
0.409 0.067 0.200 Ce
0.276 0.276 0.800 Ce
0.933 0.591 0.800 Ce
0.724 0.724 0.200 Ce
0.591 0.933 0.800 Ce
0.067 0.409 0.200 Ce
0.000 0.000 0.000 H
0.833 0.167 0.500 Cl
0.167 0.833 0.500 Cl
0.500 0.500 0.500 Cl
```

Results
Final energy   -6.1607 eV per atom

=====

Volume? In order: 180; 345; 237; 220; 320; 248 Å³ per cell.